(1)
The following is a DFT calculation (GGA-PBE) of crystalline PmPr2Sm2Dy2 at its relaxed geometry.

Geometry as CIF:
```
data_PmPr2Sm2Dy2
_chemical_formula_sum 'Pm2 Pr4 Sm4 Dy4'
_cell_length_a 11.476
_cell_length_b 5.135
_cell_length_c 8.133
_cell_angle_alpha 90.00
_cell_angle_beta 98.14
_cell_angle_gamma 90.00
_symmetry_space_group_name_H-M 'C 1 2/m 1'
_symmetry_Int_Tables_number 12
loop_
_symmetry_equiv_pos_as_xyz
'x,y,z'
'-x,-y,-z'
'-x,y,-z'
'x,-y,z'
'x+1/2,y+1/2,z'
'-x+1/2,-y+1/2,-z'
'-x+1/2,y+1/2,-z'
'x+1/2,-y+1/2,z'
loop_
_atom_site_label
_atom_site_type_symbol
_atom_site_fract_x
_atom_site_fract_y
_atom_site_fract_z
Pm1 Pm 0.000 0.000 0.000
Pr1 Pr 0.143 0.000 0.428
Sm1 Sm 0.071 0.500 0.718
Dy1 Dy 0.215 0.500 0.140
```

Energy of formation, eV per atom: 0.016
M_tot, μB/f.u.: 0.00

(2)
The following is a DFT calculation (GGA-PBE) of crystalline VBi2Pt at its relaxed geometry.

Geometry as CIF:
```
data_VBi2Pt
_chemical_formula_sum 'V4 Bi8 Pt4'
_cell_length_a 7.091
_cell_length_b 7.091
_cell_length_c 7.091
_cell_angle_alpha 90.00
_cell_angle_beta 90.00
_cell_angle_gamma 90.00
_symmetry_space_group_name_H-M 'F m -3 m'
_symmetry_Int_Tables_number 225
_symmetry_space_group_name_Hall '-F 4 2 3'
loop_
_atom_site_label
_atom_site_type_symbol
_atom_site_fract_x
_atom_site_fract_y
_atom_site_fract_z
V1 V 0.000 0.000 0.000
Bi1 Bi 0.250 0.250 0.250
Pt1 Pt 0.000 0.000 0.500
```

Energy of formation, eV per atom: 0.288
M_tot, μB/f.u.: 3.52
Energy relative to the lowest polymorph listed for this composition, meV/atom: 0.0

(3)
The following is a DFT calculation (GGA-PBE) of crystalline Nd4SbC at its relaxed geometry.

Geometry as CIF:
```
data_Nd4SbC
_chemical_formula_sum 'Nd8 Sb2 C2'
_cell_length_a 6.261
_cell_length_b 7.496
_cell_length_c 8.109
_cell_angle_alpha 105.85
_cell_angle_beta 112.70
_cell_angle_gamma 90.04
_symmetry_space_group_name_H-M 'P -1'
_symmetry_Int_Tables_number 2
loop_
_symmetry_equiv_pos_as_xyz
'x,y,z'
'-x,-y,-z'
loop_
_atom_site_label
_atom_site_type_symbol
_atom_site_fract_x
_atom_site_fract_y
_atom_site_fract_z
Nd1 Nd 0.006 0.451 0.190
Nd2 Nd 0.184 0.951 0.191
Nd3 Nd 0.249 0.827 0.631
Nd4 Nd 0.382 0.327 0.631
Sb1 Sb 0.370 0.250 0.000
C1 C 0.000 0.500 0.500
C2 C 0.500 0.000 0.500
```

Uncorrected formation energy, eV per formula unit: -2.12
M_tot, μB/f.u.: 0.00

(4)
The following is a DFT calculation (GGA-PBE) of crystalline LaThHg3 at its relaxed geometry.

Geometry as CIF:
```
data_LaThHg3
_chemical_formula_sum 'La4 Th4 Hg12'
_cell_length_a 3.633
_cell_length_b 30.265
_cell_length_c 4.999
_cell_angle_alpha 90.00
_cell_angle_beta 90.00
_cell_angle_gamma 90.00
_symmetry_space_group_name_H-M 'C m c m'
_symmetry_Int_Tables_number 63
_symmetry_space_group_name_Hall '-C 2c 2'
loop_
_atom_site_label
_atom_site_type_symbol
_atom_site_fract_x
_atom_site_fract_y
_atom_site_fract_z
La1 La 0.000 0.074 0.250
Th1 Th 0.000 0.214 0.750
Hg1 Hg 0.000 0.324 0.750
Hg2 Hg 0.000 0.379 0.250
Hg3 Hg 0.000 0.476 0.250
```

Energy of formation, eV per atom: -0.361
M_tot, μB/f.u.: 0.17

(5)
The following is a DFT calculation (GGA-PBE) of crystalline Dy6Co2Ge at its relaxed geometry.

Geometry as CIF:
```
data_Dy6Co2Ge
_chemical_formula_sum 'Dy24 Co8 Ge4'
_cell_length_a 9.282
_cell_length_b 9.517
_cell_length_c 9.807
_cell_angle_alpha 90.00
_cell_angle_beta 90.00
_cell_angle_gamma 90.00
_symmetry_space_group_name_H-M 'I m m m'
_symmetry_Int_Tables_number 71
_symmetry_space_group_name_Hall '-I 2 2'
loop_
_atom_site_label
_atom_site_type_symbol
_atom_site_fract_x
_atom_site_fract_y
_atom_site_fract_z
Dy1 Dy 0.000 0.197 0.238
Dy2 Dy 0.186 0.500 0.173
Dy3 Dy 0.221 0.320 0.500
Co1 Co 0.000 0.340 0.000
Co2 Co 0.000 0.500 0.386
Ge1 Ge 0.000 0.000 0.000
Ge2 Ge 0.000 0.000 0.500
```

Energy of formation, eV per atom: -0.333
M_tot, μB/f.u.: 0.00

(6)
The following is a DFT calculation (GGA-PBE) of crystalline Nd3Dy7Y2 at its relaxed geometry.

Geometry as CIF:
```
data_Nd3Dy7Y2
_chemical_formula_sum 'Nd3 Dy7 Y2'
_cell_length_a 5.856
_cell_length_b 3.574
_cell_length_c 18.901
_cell_angle_alpha 90.00
_cell_angle_beta 93.06
_cell_angle_gamma 90.00
_symmetry_space_group_name_H-M 'P 1 2/m 1'
_symmetry_Int_Tables_number 10
loop_
_symmetry_equiv_pos_as_xyz
'x,y,z'
'-x,-y,-z'
'-x,y,-z'
'x,-y,z'
loop_
_atom_site_label
_atom_site_type_symbol
_atom_site_fract_x
_atom_site_fract_y
_atom_site_fract_z
Nd1 Nd 0.000 0.000 0.000
Nd2 Nd 0.276 0.500 0.633
Dy1 Dy 0.192 0.500 0.143
Dy2 Dy 0.243 0.000 0.463
Dy3 Dy 0.306 0.000 0.824
Dy4 Dy 0.500 0.500 0.000
Y1 Y 0.212 0.000 0.293
```

Energy of formation, eV per atom: 0.088
M_tot, μB/f.u.: 0.00
Energy relative to the lowest polymorph listed for this composition, meV/atom: 3.6

(7)
The following is a DFT calculation (GGA-PBE) of crystalline Ac4SbTe2Rh at its relaxed geometry.

Geometry as CIF:
```
data_Ac4SbTe2Rh
_chemical_formula_sum 'Ac4 Sb1 Te2 Rh1'
_cell_length_a 8.147
_cell_length_b 4.574
_cell_length_c 8.266
_cell_angle_alpha 90.00
_cell_angle_beta 107.80
_cell_angle_gamma 90.00
_symmetry_space_group_name_H-M 'P 1 2/m 1'
_symmetry_Int_Tables_number 10
loop_
_symmetry_equiv_pos_as_xyz
'x,y,z'
'-x,-y,-z'
'-x,y,-z'
'x,-y,z'
loop_
_atom_site_label
_atom_site_type_symbol
_atom_site_fract_x
_atom_site_fract_y
_atom_site_fract_z
Ac1 Ac 0.223 0.000 0.219
Ac2 Ac 0.233 0.500 0.777
Sb1 Sb 0.500 0.000 0.000
Te1 Te 0.000 0.000 0.500
Te2 Te 0.500 0.500 0.500
Rh1 Rh 0.000 0.500 0.000
```

Uncorrected formation energy, eV per formula unit: -9.59
M_tot, μB/f.u.: 0.00

(8)
The following is a DFT calculation (GGA-PBE) of crystalline Pm4Sm2Ho2Tm at its relaxed geometry.

Geometry as CIF:
```
data_Pm4Sm2Ho2Tm
_chemical_formula_sum 'Pm8 Sm4 Ho4 Tm2'
_cell_length_a 15.298
_cell_length_b 5.096
_cell_length_c 8.028
_cell_angle_alpha 90.00
_cell_angle_beta 108.56
_cell_angle_gamma 90.00
_symmetry_space_group_name_H-M 'C 1 2/m 1'
_symmetry_Int_Tables_number 12
loop_
_symmetry_equiv_pos_as_xyz
'x,y,z'
'-x,-y,-z'
'-x,y,-z'
'x,-y,z'
'x+1/2,y+1/2,z'
'-x+1/2,-y+1/2,-z'
'-x+1/2,y+1/2,-z'
'x+1/2,-y+1/2,z'
loop_
_atom_site_label
_atom_site_type_symbol
_atom_site_fract_x
_atom_site_fract_y
_atom_site_fract_z
Pm1 Pm 0.055 0.000 0.331
Pm2 Pm 0.222 0.500 0.331
Sm1 Sm 0.112 0.500 0.670
Ho1 Ho 0.166 0.000 0.000
Tm1 Tm 0.000 0.500 0.000
```

Energy of formation, eV per atom: 0.020
M_tot, μB/f.u.: 0.00

Q: Which formula does entry 8 have?
A: Pm4Sm2Ho2Tm